Below is NaGa2WO6 after structural relaxation, with properties calculated at the PBE with a Hubbard U level. Values from VASP.

Summary:
space group = C2/c, No. 15
magnetization = 0.100 μB/atom
raw total energy = -0.4669 Ry per atom
calculated volume = 251.9 Å³ per cell

Cell and atoms, written as Quantum ESPRESSO input:
```
&SYSTEM
  ibrav = 0, nat = 20, ntyp = 4
/
ATOMIC_SPECIES
Na 22.99 Na.upf
Ga 69.72 Ga.upf
W 183.84 W.upf
O 16.00 O.upf
ATOMIC_POSITIONS crystal
Na 0.250 0.917 0.083
Na 0.750 0.083 0.917
Ga 0.193 0.779 0.600
Ga 0.307 0.400 0.221
Ga 0.807 0.221 0.400
Ga 0.693 0.600 0.779
W 0.250 0.269 0.731
W 0.750 0.731 0.269
O 0.154 0.995 0.761
O 0.346 0.239 0.005
O 0.846 0.005 0.239
O 0.654 0.761 0.995
O 0.417 0.814 0.383
O 0.083 0.617 0.186
O 0.583 0.186 0.617
O 0.917 0.383 0.814
O 0.867 0.718 0.561
O 0.633 0.439 0.282
O 0.133 0.282 0.439
O 0.367 0.561 0.718
CELL_PARAMETERS angstrom
5.344 -0.415 -0.430
1.265 6.766 0.025
1.265 -0.226 6.762
```